(1)
The following is a DFT calculation (PBE) of a relaxed structure of Ti6Al3Tc.

Summary:
**DFT formation energy**: -35.58 kJ/mol of atoms

```
20
Lattice="4.580 0.000 0.000 0.000 7.228 -2.497 0.000 -0.011 9.756" Properties=species:S:1:pos:R:3 pbc="T T T"
Ti 1.145 3.292 -0.308
Ti 3.435 3.925 7.567
Ti 1.145 1.073 1.396
Ti 3.435 6.144 5.863
Ti 1.145 4.820 5.008
Ti 3.435 2.397 2.252
Ti 1.145 1.693 4.184
Ti 3.435 5.524 3.076
Ti 1.145 6.189 0.788
Ti 3.435 1.027 6.471
Ti 1.145 0.473 8.417
Ti 3.435 6.744 -1.158
Al 1.145 3.928 2.397
Al 3.435 3.288 4.863
Al 1.145 2.631 6.723
Al 3.435 4.586 0.536
Al 1.145 5.542 7.654
Al 3.435 1.674 -0.394
Tc 1.145 6.883 3.451
Tc 3.435 0.333 3.809
```



(2)
The following is a DFT calculation (PBE) of a relaxed structure of Er2TmSc4.

Summary:
**Relative energy among the computed polymorphs**: 0 meV/atom
**DFT formation energy**: 16.77 kJ/mol of atoms

```
7
Lattice="5.212 0.000 0.000 0.000 3.579 0.000 0.000 -1.789 10.432" Properties=species:S:1:pos:R:3 pbc="T T T"
Er 2.606 0.000 1.528
Er 2.606 1.789 8.904
Tm 0.000 1.789 0.000
Sc 2.606 1.789 4.108
Sc 0.000 1.789 6.700
Sc 2.606 0.000 6.324
Sc 0.000 0.000 3.732
```



(3)
The following is a DFT calculation (PBE) of a relaxed structure of ScTaIn.

Summary:
**Relative energy among the computed polymorphs**: 0 meV/atom
**DFT formation energy**: -5.41 kJ/mol of atoms

```
3
Lattice="-0.806 -1.215 7.129 -4.109 -3.003 5.201 3.542 0.306 -6.350" Properties=species:S:1:pos:R:3 pbc="T T T"
In -0.019 -0.017 0.048
Sc -1.616 -1.386 4.053
Ta -3.281 -2.815 8.229
```



(4)
The following is a DFT calculation (PBE) of a relaxed structure of K2SrI2Br2.

Summary:
**Formation energy without anion corrections**: -1.727 eV/atom

```
7
Lattice="4.478 -0.650 -0.302 -1.143 7.493 1.019 1.161 3.804 9.126" Properties=species:S:1:pos:R:3 pbc="T T T"
K 1.578 7.674 6.953
K 2.918 2.973 2.889
Sr 0.000 0.000 0.000
I 0.891 3.432 5.912
I 3.605 7.214 3.931
Br 3.680 5.545 8.684
Br 0.816 5.101 1.159
```



(5)
The following is a DFT calculation (PBE) of a relaxed structure of Ti3NiS6.

Summary:
**Formation energy without anion corrections**: -1.198 eV/atom
**Relative energy among the computed polymorphs**: 0 meV/atom

```
10
Lattice="6.620 0.005 0.004 4.016 5.263 0.004 4.016 1.989 4.872" Properties=species:S:1:pos:R:3 pbc="T T T"
Ti 4.831 2.393 1.609
Ti 9.822 4.865 3.271
Ti 0.000 0.000 0.000
Ni 7.326 3.629 2.440
S 8.525 5.290 1.225
S 9.374 2.484 2.849
S 7.656 4.885 4.437
S 6.127 1.967 3.655
S 6.996 2.373 0.443
S 5.278 4.774 2.030
```



(6)
The following is a DFT calculation (PBE) of a relaxed structure of TiMn3Pt.

Summary:
**Relative energy among the computed polymorphs**: 0 meV/atom
**DFT formation energy**: 83.43 kJ/mol of atoms

```
5
Lattice="4.807 0.000 0.000 0.000 4.807 0.000 0.000 0.000 4.807" Properties=species:S:1:pos:R:3 pbc="T T T"
Mn 0.000 2.404 0.000
Mn 0.000 0.000 2.404
Mn 2.404 0.000 0.000
Pt 0.000 0.000 0.000
Ti 2.404 2.404 2.404
```



(7)
The following is a DFT calculation (PBE) of a relaxed structure of Cd2CoSbC.

Summary:
**Formation energy without anion corrections**: 0.670 eV/atom

```
5
Lattice="4.942 0.000 0.000 0.000 4.942 0.000 0.000 0.000 3.715" Properties=species:S:1:pos:R:3 pbc="T T T"
Sb 2.471 2.471 1.858
C 0.000 0.000 0.000
Co 0.000 0.000 1.858
Cd 0.000 2.471 0.000
Cd 2.471 0.000 0.000
```



(8)
The following is a DFT calculation (PBE) of a relaxed structure of SiAg5Se4.

Summary:
**Formation energy without anion corrections**: -0.109 eV/atom

```
20
Lattice="6.013 0.000 0.000 0.000 10.638 0.000 0.000 0.000 7.840" Properties=species:S:1:pos:R:3 pbc="T T T"
Si 1.496 0.000 0.000
Si 4.518 5.319 3.920
Ag 4.805 1.492 2.455
Ag 4.805 1.492 5.386
Ag 0.796 0.000 3.920
Ag 4.805 9.146 2.455
Ag 4.805 9.146 5.386
Ag 1.208 6.811 1.466
Ag 1.208 6.811 6.375
Ag 5.218 5.319 0.000
Ag 1.208 3.827 6.375
Ag 1.208 3.827 1.466
Se 0.068 1.843 0.000
Se 2.643 0.000 2.005
Se 2.643 0.000 5.835
Se 0.068 8.795 0.000
Se 5.946 7.162 3.920
Se 3.370 5.319 1.915
Se 3.370 5.319 5.926
Se 5.946 3.476 3.920
```



(9)
The following is a DFT calculation (PBE) of a relaxed structure of SiTePtI.

Summary:
**Formation energy without anion corrections**: -0.186 eV/atom
**Relative energy among the computed polymorphs**: 124 meV/atom

```
8
Lattice="-4.444 -1.995 -1.745 1.497 -0.647 -3.074 6.639 -11.773 5.711" Properties=species:S:1:pos:R:3 pbc="T T T"
I 0.918 -2.453 0.963
I 4.986 -8.663 2.282
Si -1.963 -6.144 0.337
Si 2.105 -12.353 1.655
Te 1.235 -6.446 1.958
Te 5.303 -12.656 3.277
Pt 2.724 -11.945 3.840
Pt 0.153 -6.382 -0.552
```



(10)
The following is a DFT calculation (PBE) of a relaxed structure of Sc2ReAg.

Summary:
**DFT formation energy**: 4.69 kJ/mol of atoms

```
4
Lattice="9.063 -0.013 -0.008 8.511 3.116 -0.008 8.511 1.503 2.730" Properties=species:S:1:pos:R:3 pbc="T T T"
Ag 6.521 1.151 0.679
Re 19.563 3.454 2.036
Sc 0.226 0.040 0.024
Sc 12.816 2.263 1.334
```



(11)
The following is a DFT calculation (PBE) of a relaxed structure of Tl2SiPb.

Summary:
**Formation energy without anion corrections**: 0.287 eV/atom
**Relative energy among the computed polymorphs**: 16 meV/atom

```
4
Lattice="6.599 -0.096 0.032 5.618 3.462 0.032 2.072 0.571 4.813" Properties=species:S:1:pos:R:3 pbc="T T T"
Pb 6.650 1.832 2.670
Si 10.798 2.975 3.615
Tl 2.515 0.693 4.610
Tl 3.541 0.976 1.233
```



(12)
The following is a DFT calculation (PBE) of a relaxed structure of LuSn2Bi.

Summary:
**Relative energy among the computed polymorphs**: 0 meV/atom
**DFT formation energy**: -25.77 kJ/mol of atoms

```
4
Lattice="4.915 0.000 0.000 0.000 4.718 0.000 0.000 0.000 4.718" Properties=species:S:1:pos:R:3 pbc="T T T"
Lu 2.457 2.359 2.359
Bi 2.457 0.000 0.000
Sn 0.000 0.000 2.359
Sn 0.000 2.359 0.000
```